[1]
Tm3ReB7 (GGA-PBEsol, optimized geometry); ΔH_f (0 K) = -0.74 eV/atom; N(E_F) = 0.406 states/eV per atom; total magnetic moment = 0.001 μB per atom; VASP energy = -170.466 eV for the cell shown
1.0
-0.824 3.350 -0.267
-6.081 -3.571 -3.607
-4.492 -0.465 8.033
B Tm Re
14 6 2
Direct
0.272 0.545 0.033
0.728 0.455 0.533
0.633 0.266 0.850
0.547 0.094 0.250
0.633 0.266 0.650
0.520 0.039 0.594
0.480 0.961 0.094
0.367 0.734 0.150
0.453 0.906 0.750
0.728 0.455 0.967
0.367 0.734 0.350
0.272 0.545 0.467
0.520 0.039 0.906
0.480 0.961 0.406
0.106 0.211 0.059
0.894 0.789 0.941
0.894 0.789 0.559
0.757 0.514 0.250
0.106 0.211 0.441
0.243 0.486 0.750
0.052 0.105 0.750
0.948 0.895 0.250

[2]
V11ReB8 (GGA-PBEsol, optimized geometry); ΔH_f (0 K) = -0.78 eV/atom; N(E_F) = 0.292 states/eV per atom; total magnetic moment = 0.000 μB per atom; VASP energy = -191.056 eV for the cell shown
1.0
2.988 0.000 0.000
0.000 5.692 0.000
0.000 -0.002 11.391
B V Re
8 11 1
Direct
0.000 0.111 0.944
0.000 0.112 0.444
0.000 0.889 0.056
0.000 0.388 0.693
0.000 0.612 0.307
0.000 0.388 0.196
0.000 0.612 0.804
0.000 0.888 0.556
0.500 0.320 0.836
0.000 0.000 0.749
0.500 0.678 0.660
0.500 0.178 0.588
0.000 0.000 0.251
0.500 0.827 0.909
0.000 0.500 0.500
0.500 0.322 0.340
0.500 0.680 0.164
0.500 0.173 0.091
0.500 0.822 0.412
0.000 0.500 0.000

[3]
ReB2W2 (GGA-PBEsol, optimized geometry); ΔH_f (0 K) = -0.29 eV/atom; N(E_F) = 0.582 states/eV per atom; total magnetic moment = 0.000 μB per atom; VASP energy = -112.837 eV for the cell shown
1.0
3.120 0.000 0.000
0.000 5.990 0.000
0.000 0.000 5.990
B W Re
4 4 2
Direct
0.000 0.617 0.117
0.000 0.883 0.617
0.000 0.383 0.883
0.000 0.117 0.383
0.500 0.168 0.668
0.500 0.668 0.832
0.500 0.332 0.168
0.500 0.832 0.332
0.000 0.000 0.000
0.000 0.500 0.500

[4]
Re3BW (GGA-PBEsol, optimized geometry); ΔH_f (0 K) = 3.39 eV/atom; N(E_F) = 1.394 states/eV per atom; total magnetic moment = 0.450 μB per atom; VASP energy = -43.891 eV for the cell shown
1.0
4.682 0.000 0.000
0.000 4.682 0.000
0.000 0.000 4.682
W Re B
1 3 1
Direct
0.000 0.000 0.000
0.000 0.000 0.500
0.500 0.000 0.000
0.000 0.500 0.000
0.500 0.500 0.500

[5]
YRe3B (GGA-PBEsol, optimized geometry); ΔH_f (0 K) = 0.20 eV/atom; N(E_F) = 1.365 states/eV per atom; total magnetic moment = 0.000 μB per atom; VASP energy = -52.816 eV for the cell shown
1.0
-3.738 -1.919 -0.519
1.161 -1.210 -3.887
1.614 -3.574 1.595
Re B Y
3 1 1
Direct
0.000 0.000 0.500
0.500 0.000 0.000
0.000 0.500 0.000
0.000 0.000 0.000
0.500 0.500 0.500

[6]
ZnRe2B (GGA-PBEsol, optimized geometry); ΔH_f (0 K) = 0.63 eV/atom; N(E_F) = 0.698 states/eV per atom; total magnetic moment = 0.000 μB per atom; VASP energy = -32.734 eV for the cell shown
1.0
-3.494 -0.083 2.094
-0.138 -1.782 3.661
-0.418 2.271 3.356
Re B Zn
2 1 1
Direct
0.250 0.250 0.250
0.750 0.750 0.750
0.000 0.000 0.000
0.500 0.500 0.500

[7]
Zn3ReB (GGA-PBEsol, optimized geometry); ΔH_f (0 K) = 0.99 eV/atom; N(E_F) = 0.466 states/eV per atom; total magnetic moment = 0.407 μB per atom; VASP energy = -20.134 eV for the cell shown
1.0
4.037 0.000 0.000
0.000 4.037 0.000
0.000 0.000 4.037
Zn B Re
3 1 1
Direct
0.000 0.500 0.000
0.000 0.000 0.500
0.500 0.000 0.000
0.000 0.000 0.000
0.500 0.500 0.500

[8]
B4Rh5 (GGA-PBEsol, optimized geometry); ΔH_f (0 K) = -0.41 eV/atom; N(E_F) = 0.455 states/eV per atom; total magnetic moment = 0.000 μB per atom; VASP energy = -144.809 eV for the cell shown
1.0
3.327 0.000 0.000
-1.663 2.881 0.000
0.000 0.000 19.822
Rh B
10 8
Direct
0.000 0.000 0.647
0.333 0.667 0.047
0.000 0.000 0.853
0.333 0.667 0.453
0.000 0.000 0.353
0.000 0.000 0.147
0.667 0.333 0.547
0.667 0.333 0.750
0.667 0.333 0.953
0.333 0.667 0.250
0.333 0.667 0.586
0.333 0.667 0.696
0.667 0.333 0.196
0.333 0.667 0.914
0.667 0.333 0.086
0.667 0.333 0.414
0.333 0.667 0.804
0.667 0.333 0.304

[9]
BRh2 (GGA-PBEsol, optimized geometry); ΔH_f (0 K) = -0.24 eV/atom; N(E_F) = 0.921 states/eV per atom; total magnetic moment = 0.000 μB per atom; VASP energy = -96.062 eV for the cell shown
1.0
-1.388 -1.888 2.943
2.172 -4.509 -1.868
5.569 1.259 3.434
Rh B
8 4
Direct
0.250 0.009 0.154
0.250 0.129 0.592
0.250 0.509 0.346
0.750 0.991 0.846
0.250 0.629 0.908
0.750 0.871 0.408
0.750 0.371 0.092
0.750 0.491 0.654
0.750 0.264 0.398
0.250 0.736 0.602
0.750 0.764 0.102
0.250 0.236 0.898

[10]
B11Rh18 (GGA-PBEsol, optimized geometry); ΔH_f (0 K) = -0.34 eV/atom; N(E_F) = 0.726 states/eV per atom; total magnetic moment = 0.000 μB per atom; VASP energy = -233.540 eV for the cell shown
1.0
-1.917 0.047 -5.109
-3.491 -5.681 1.327
-4.620 7.314 2.613
Rh B
18 11
Direct
0.772 0.896 0.228
0.037 0.195 0.485
0.231 0.099 0.770
0.737 0.525 0.971
0.843 0.563 0.694
0.722 0.145 0.719
0.103 0.815 0.968
0.259 0.471 0.023
0.338 0.480 0.728
0.654 0.526 0.267
0.956 0.798 0.519
0.281 0.852 0.282
0.533 0.262 0.454
0.458 0.742 0.542
0.427 0.143 0.131
0.899 0.185 0.034
0.571 0.857 0.870
0.154 0.446 0.313
0.205 0.760 0.724
0.984 0.618 0.182
0.654 0.960 0.456
0.794 0.232 0.271
0.097 0.096 0.223
0.908 0.909 0.785
0.462 0.767 0.058
0.538 0.230 0.942
0.358 0.050 0.548
0.850 0.472 0.455
0.019 0.377 0.806

[11]
BRh2S (GGA-PBEsol, optimized geometry); N(E_F) = 1.464 states/eV per atom; total magnetic moment = 0.089 μB per atom; VASP energy = -26.514 eV for the cell shown; formation energy without anion corrections = 0.29 eV/atom
1.0
4.020 0.000 0.000
2.010 3.481 0.000
2.010 1.160 3.282
Rh B S
2 1 1
Direct
0.750 0.750 0.750
0.250 0.250 0.250
0.000 0.000 0.000
0.500 0.500 0.500

[12]
YBRhS2 (GGA-PBEsol, optimized geometry); N(E_F) = 1.261 states/eV per atom; total magnetic moment = 0.330 μB per atom; VASP energy = -25.087 eV for the cell shown; formation energy without anion corrections = 1.13 eV/atom
1.0
4.631 0.000 0.000
0.000 5.029 0.000
0.000 0.000 5.029
Y S B Rh
1 2 1 1
Direct
0.000 0.000 0.000
0.000 0.500 0.000
0.000 0.000 0.500
0.500 0.000 0.000
0.500 0.500 0.500